# RePt2Se | the Alexandria database | PBE | relaxed
data_RePt2Se
_chemical_formula_sum 'Re3 Pt6 Se3'
_cell_length_a 2.9173
_cell_length_b 2.9173
_cell_length_c 26.2371
_cell_angle_alpha 90.00
_cell_angle_beta 90.00
_cell_angle_gamma 120.00
_symmetry_space_group_name_H-M 'R 3 m'
_symmetry_Int_Tables_number 160
_symmetry_space_group_name_Hall 'R 3 -2"'
loop_
_atom_site_label
_atom_site_fract_x
_atom_site_fract_y
_atom_site_fract_z
Re1 0.0000 0.0000 0.0000
Pt1 0.0000 0.0000 0.2503
Pt2 0.0000 0.0000 0.4957
Se1 0.0000 0.0000 0.7381
# calculated total energy	-6.83	eV/atom
# energy relative to the elements, uncorrected	0.7	eV per formula unit
# calculated density	16.88	Mg/m³
# total magnetization	0.00	μB per cell